1 | VASP calculation (PBE-GGA) on Zn2InB after structural relaxation.

Cell lengths 5.1580, 5.1580, 12.4332 Å; angles 90.00, 90.00, 90.00 degrees
With the nearest neighbours (Å) after each atom.
Space group I-42d (No. 122)
Inequivalent atoms, fractional coordinates:
Zn (0.0673, 0.2500, 0.1250) (multiplicity 8)  2 B 2.05
In (0.0000, 0.0000, 0.5000) (multiplicity 4)  4 Zn 3.01
B (0.0000, 0.0000, 0.0000) (multiplicity 4)  4 Zn 2.05

Fermi-level density of states = 0.01 states/eV per cell


2 | VASP calculation (PBE-GGA) on Zn2InB after structural relaxation.

Cell lengths 6.4184, 6.4184, 6.4184 Å; angles 90.00, 90.00, 90.00 degrees
With the nearest neighbours (Å) after each atom.
Space group Fm-3m (No. 225)
Inequivalent atoms, fractional coordinates:
Zn (0.2500, 0.2500, 0.2500) (multiplicity 8)  4 In 2.78, 4 B 2.78
In (0.0000, 0.0000, 0.0000) (multiplicity 4)  8 Zn 2.78
B (0.0000, 0.0000, 0.5000) (multiplicity 4)  8 Zn 2.78

Fermi-level density of states = 4.83 states/eV per cell


Relative energies with respect to the most stable structure, expressed in meV per atom: 1 0; 2 358.


1 | VASP calculation (PBE-GGA) on ZnInB2 after structural relaxation.

Cell lengths 3.9115, 3.9115, 14.4093 Å; angles 90.00, 90.00, 90.00 degrees
With the nearest neighbours (Å) after each atom.
Space group I-42d (No. 122)
Inequivalent atoms, fractional coordinates:
Zn (0.0000, 0.0000, 0.0000) (multiplicity 4)  4 B 2.09
In (0.0000, 0.0000, 0.5000) (multiplicity 4)  4 B 2.58, 4 Zn 2.77
B (0.0984, 0.2500, 0.1250) (multiplicity 8)  2 Zn 2.09, 2 B 2.10

Fermi-level density of states = 5.54 states/eV per cell


2 | VASP calculation (PBE-GGA) on ZnInB2 after structural relaxation.

Cell lengths 6.0405, 6.0405, 6.0405 Å; angles 90.00, 90.00, 90.00 degrees
With the nearest neighbours (Å) after each atom.
Space group Fm-3m (No. 225)
Inequivalent atoms, fractional coordinates:
Zn (0.0000, 0.0000, 0.0000) (multiplicity 4)  8 B 2.62
In (0.0000, 0.0000, 0.5000) (multiplicity 4)  8 B 2.62
B (0.2500, 0.2500, 0.2500) (multiplicity 8)  4 In 2.62, 4 Zn 2.62

Fermi-level density of states = 8.88 states/eV per cell


Relative energies with respect to the most stable structure, expressed in meV per atom: 1 0; 2 508.


1 | VASP calculation (PBE-GGA) on Zr2InB after structural relaxation.

Cell lengths 6.6726, 6.6726, 6.6726 Å; angles 90.00, 90.00, 90.00 degrees
With the nearest neighbours (Å) after each atom.
Space group Fm-3m (No. 225)
Inequivalent atoms, fractional coordinates:
Zr (0.2500, 0.2500, 0.2500) (multiplicity 8)  4 B 2.89, 4 In 2.89
In (0.0000, 0.0000, 0.0000) (multiplicity 4)  8 Zr 2.89
B (0.0000, 0.0000, 0.5000) (multiplicity 4)  8 Zr 2.89

Fermi-level density of states = 41.01 states/eV per cell


2 | VASP calculation (PBE-GGA) on Zr2InB after structural relaxation.

Cell lengths 3.4582, 3.4582, 22.9794 Å; angles 90.00, 90.00, 120.00 degrees
With the nearest neighbours (Å) after each atom.
Space group R-3m (No. 166, hexagonal axes)
Inequivalent atoms, fractional coordinates:
Zr (0.0000, 0.0000, 0.2234) (multiplicity 6)  3 B 2.38
In (0.0000, 0.0000, 0.0000) (multiplicity 3)  6 Zr 3.22, 6 In 3.46
B (0.0000, 0.0000, 0.5000) (multiplicity 3)  6 Zr 2.38

Fermi-level density of states = 6.34 states/eV per cell


3 | VASP calculation (PBE-GGA) on Zr2InB after structural relaxation.

Cell lengths 7.1339, 7.1339, 6.2315 Å; angles 90.00, 90.00, 90.00 degrees
With the nearest neighbours (Å) after each atom.
Space group I-42d (No. 122)
Inequivalent atoms, fractional coordinates:
Zr (0.1875, 0.2500, 0.1250) (multiplicity 8)  2 B 2.36
In (0.0000, 0.0000, 0.5000) (multiplicity 4)  8 Zr 2.96-3.23, 2 B 3.12
B (0.0000, 0.0000, 0.0000) (multiplicity 4)  4 Zr 2.36

Fermi-level density of states = 11.96 states/eV per cell


Relative energies with respect to the most stable structure, expressed in meV per atom: 1 806; 2 0; 3 506.